(1)
This record from Alexandria describes crystalline Sc3Pt at its relaxed geometry. The functional is PBE-GGA.

The calculation puts the formation enthalpy at 0 K at -0.381 eV/atom. The density of states at the Fermi level is 1.472 states/eV/atom. The calculation puts the theoretical density at 6.8 g cm⁻³. The value obtained for the calculated total energy is -79.7 eV for the cell shown.

The structure belongs to space group R-3m (No. 166, hexagonal axes); the cell edges are 9.5372, 9.5372 and 3.0494 Å and the angles 90.00°, 90.00° and 120.00°. The inequivalent atoms are Sc at (0.0000, 0.5000, 0.0000) and Pt at (0.0000, 0.0000, 0.0000).


(2)
This record from Alexandria describes crystalline Ti3In12Hg5 at its relaxed geometry. The functional is PBE-GGA.

The calculation puts the formation enthalpy at 0 K at 0.303 eV/atom. The density of states at the Fermi level is 0.873 states/eV/atom. The calculation puts the theoretical density at 7.0 g cm⁻³. The value obtained for the calculated total energy is -415.9 eV for the cell shown.

The structure belongs to space group Ia-3d (No. 230); the cell edges are 16.864, 16.864 and 16.864 Å and the angles 90.00°, 90.00° and 90.00°. The inequivalent atoms are Ti at (0.000, 0.250, 0.125), In at (0.012, 0.082, 0.652), Hg at (0.000, 0.000, 0.000) and Hg at (0.000, 0.250, 0.375).


(3)
This record from Alexandria describes crystalline KGaSn at its relaxed geometry. The functional is PBE-GGA.

The calculation puts the formation enthalpy at 0 K at -0.084 eV/atom. The density of states at the Fermi level is 0.322 states/eV/atom. The calculation puts the theoretical density at 4.2 g cm⁻³. The value obtained for the calculated total energy is -16.8 eV for the cell shown.

The structure belongs to space group P2_1/m (No. 11); the cell edges are 4.951, 5.270 and 7.295 Å and the angles 90.00°, 109.63° and 90.00°. The inequivalent atoms are K at (0.229, 0.250, 0.019), Ga at (0.128, 0.750, 0.619) and Sn at (0.476, 0.250, 0.620).


(4)
This record from Alexandria describes crystalline Sr2GeH at its relaxed geometry. The functional is PBE-GGA.

The density of states at the Fermi level is 0.389 states/eV/atom. The calculation puts the theoretical density at 4.0 g cm⁻³. The value obtained for the calculated total energy is -12.5 eV for the cell shown.

The structure belongs to space group P4/mmm (No. 123); the cell edges are 5.420, 5.420 and 3.556 Å and the angles 90.00°, 90.00° and 90.00°. The inequivalent atoms are Sr at (0.000, 0.500, 0.000), Ge at (0.000, 0.000, 0.500) and H at (0.500, 0.500, 0.500).


(5)
This record from Alexandria describes crystalline K2MnGeP at its relaxed geometry. The functional is PBE-GGA.

The calculation puts the formation enthalpy at 0 K at 0.686 eV/atom. The density of states at the Fermi level is 0.741 states/eV/atom. The calculation puts the theoretical density at 2.1 g cm⁻³. The value obtained for the calculated total energy is -18.0 eV for the cell shown.

The structure belongs to space group P4/mmm (No. 123); the cell edges are 6.239, 6.239 and 4.714 Å and the angles 90.00°, 90.00° and 90.00°. The inequivalent atoms are K at (0.000, 0.500, 0.000), Mn at (0.000, 0.000, 0.500), Ge at (0.000, 0.000, 0.000) and P at (0.500, 0.500, 0.500).


(6)
This record from Alexandria describes crystalline NaSr3Y2Se6 at its relaxed geometry. The functional is PBE-GGA.

The formation energy without anion corrections comes out at -22.5 eV per formula unit. The density of states at the Fermi level is 0.312 states/eV/atom. The calculation puts the theoretical density at 4.7 g cm⁻³. The value obtained for the calculated total energy is -125.4 eV for the cell shown.

The structure belongs to space group C2/m (No. 12); the cell edges are 7.419, 12.840 and 7.433 Å and the angles 90.00°, 109.39° and 90.00°. The inequivalent atoms are Na at (0.000, 0.000, 0.000), Sr at (0.000, 0.163, 0.500), Sr at (0.000, 0.500, 0.500), Y at (0.000, 0.333, 0.000), Se at (0.234, 0.500, 0.230) and Se at (0.250, 0.172, 0.233).


theoretical density of number 4 (Sr2GeH)? 4.0 g cm⁻³